(1)
This record from Alexandria describes a geometry-optimized NbAsS2 structure. The functional is PBE.

Unit cell a=6.695 b=6.695 c=6.695 alpha=126.28 beta=126.28 gamma=79.43
Fractional coordinates of all 8 atoms:
Nb1 0.000 0.000 0.000
Nb2 0.750 0.250 0.500
As1 0.250 0.750 0.500
As2 0.500 0.500 0.000
S1 0.087 0.625 0.962
S2 0.375 0.337 0.462
S3 0.663 0.125 0.038
S4 0.875 0.913 0.538

Values from the calculation:
SG: I-42d
ΔE to the lowest computed polymorph: 0.619 eV/atom
Energy relative to the elements, uncorrected: 72 meV/atom

(2)
This record from Alexandria describes a geometry-optimized NbAsS2 structure. The functional is PBE.

Unit cell a=4.487 b=4.487 c=4.487 alpha=60.00 beta=60.00 gamma=60.00
Fractional coordinates of all 4 atoms:
Nb1 0.000 0.000 0.000
As1 0.500 0.500 0.500
S1 0.250 0.250 0.250
S2 0.750 0.750 0.750

Values from the calculation:
SG: Fm-3m
ΔE to the lowest computed polymorph: 0.494 eV/atom
Energy relative to the elements, uncorrected: -53 meV/atom

(3)
This record from Alexandria describes a geometry-optimized Nb3AsS structure. The functional is PBE.

Unit cell a=6.552 b=6.552 c=6.568 alpha=108.38 beta=108.38 gamma=41.20
Fractional coordinates of all 10 atoms:
Nb1 0.060 0.060 0.231
Nb2 0.206 0.206 0.644
Nb3 0.404 0.404 0.118
Nb4 0.596 0.596 0.882
Nb5 0.794 0.794 0.356
Nb6 0.940 0.940 0.769
As1 0.392 0.392 0.528
As2 0.608 0.608 0.472
S1 0.169 0.169 0.988
S2 0.831 0.831 0.012

Values from the calculation:
SG: C2/m
ΔE to the lowest computed polymorph: 0.000 eV/atom
Energy relative to the elements, uncorrected: -419 meV/atom

(4)
This record from Alexandria describes a geometry-optimized NbSbAs2S structure. The functional is PBE.

Unit cell a=5.180 b=5.180 c=4.581 alpha=90.00 beta=90.00 gamma=90.00
Fractional coordinates of all 5 atoms:
Nb1 0.000 0.000 0.000
Sb1 0.500 0.500 0.500
As1 0.000 0.500 0.000
As2 0.500 0.000 0.000
S1 0.000 0.000 0.500

Values from the calculation:
SG: P4/mmm
Energy relative to the elements, uncorrected: 192 meV/atom

(5)
This record from Alexandria describes a geometry-optimized NbAs2SeS structure. The functional is PBE.

Unit cell a=5.054 b=5.054 c=4.861 alpha=90.00 beta=90.00 gamma=90.00
Fractional coordinates of all 5 atoms:
Nb1 0.000 0.000 0.000
As1 0.000 0.500 0.000
As2 0.500 0.000 0.000
Se1 0.000 0.000 0.500
S1 0.500 0.500 0.500

Values from the calculation:
SG: P4/mmm
ΔE to the lowest computed polymorph: 0.000 eV/atom
Energy relative to the elements, uncorrected: 473 meV/atom

(6)
This record from Alexandria describes a geometry-optimized NbAs2SeS structure. The functional is PBE.

Unit cell a=4.707 b=4.707 c=4.638 alpha=90.00 beta=90.00 gamma=90.00
Fractional coordinates of all 5 atoms:
Nb1 0.000 0.000 0.000
As1 0.000 0.500 0.500
As2 0.500 0.000 0.500
Se1 0.500 0.500 0.000
S1 0.500 0.500 0.500

Values from the calculation:
SG: P4/mmm
ΔE to the lowest computed polymorph: 0.349 eV/atom
Energy relative to the elements, uncorrected: 822 meV/atom

(7)
This record from Alexandria describes a geometry-optimized NbSb3As structure. The functional is PBE.

Unit cell a=5.334 b=5.334 c=5.334 alpha=90.00 beta=90.00 gamma=90.00
Fractional coordinates of all 5 atoms:
Nb1 0.000 0.000 0.000
Sb1 0.000 0.000 0.500
Sb2 0.000 0.500 0.000
Sb3 0.500 0.000 0.000
As1 0.500 0.500 0.500

Values from the calculation:
SG: Pm-3m
ΔE to the lowest computed polymorph: 0.000 eV/atom
Energy relative to the elements, uncorrected: 610 meV/atom

(8)
This record from Alexandria describes a geometry-optimized Nb2Sb2As structure. The functional is PBE.

Unit cell a=7.398 b=7.398 c=3.795 alpha=90.00 beta=90.00 gamma=90.00
Fractional coordinates of all 10 atoms:
Nb1 0.152 0.348 0.000
Nb2 0.348 0.848 0.000
Nb3 0.652 0.152 0.000
Nb4 0.848 0.652 0.000
Sb1 0.146 0.646 0.500
Sb2 0.354 0.146 0.500
Sb3 0.646 0.854 0.500
Sb4 0.854 0.354 0.500
As1 0.000 0.000 0.000
As2 0.500 0.500 0.000

Values from the calculation:
SG: P4/mbm
Energy relative to the elements, uncorrected: -76 meV/atom

(9)
This record from Alexandria describes a geometry-optimized Nb2SbAs structure. The functional is PBE.

Unit cell a=4.709 b=4.709 c=4.709 alpha=60.00 beta=60.00 gamma=60.00
Fractional coordinates of all 4 atoms:
Nb1 0.250 0.250 0.250
Nb2 0.750 0.750 0.750
Sb1 0.000 0.000 0.000
As1 0.500 0.500 0.500

Values from the calculation:
SG: Fm-3m
Energy relative to the elements, uncorrected: -198 meV/atom

(10)
This record from Alexandria describes a geometry-optimized NbSbAs3 structure. The functional is PBE.

Unit cell a=5.018 b=5.018 c=5.018 alpha=90.00 beta=90.00 gamma=90.00
Fractional coordinates of all 5 atoms:
Nb1 0.000 0.000 0.000
Sb1 0.500 0.500 0.500
As1 0.000 0.000 0.500
As2 0.000 0.500 0.000
As3 0.500 0.000 0.000

Values from the calculation:
SG: Pm-3m
ΔE to the lowest computed polymorph: 0.000 eV/atom
Energy relative to the elements, uncorrected: 397 meV/atom

(11)
This record from Alexandria describes a geometry-optimized NbSb3As structure. The functional is PBE.

Unit cell a=5.198 b=5.198 c=5.198 alpha=90.00 beta=90.00 gamma=90.00
Fractional coordinates of all 5 atoms:
Nb1 0.000 0.000 0.000
Sb1 0.000 0.500 0.500
Sb2 0.500 0.000 0.500
Sb3 0.500 0.500 0.000
As1 0.500 0.500 0.500

Values from the calculation:
SG: Pm-3m
ΔE to the lowest computed polymorph: 0.541 eV/atom
Energy relative to the elements, uncorrected: 1151 meV/atom

(12)
This record from Alexandria describes a geometry-optimized Nb2SbAs2 structure. The functional is PBE.

Unit cell a=7.578 b=7.578 c=3.304 alpha=90.00 beta=90.00 gamma=90.00
Fractional coordinates of all 10 atoms:
Nb1 0.147 0.353 0.000
Nb2 0.353 0.853 0.000
Nb3 0.647 0.147 0.000
Nb4 0.853 0.647 0.000
Sb1 0.000 0.000 0.000
Sb2 0.500 0.500 0.000
As1 0.138 0.638 0.500
As2 0.362 0.138 0.500
As3 0.638 0.862 0.500
As4 0.862 0.362 0.500

Values from the calculation:
SG: P4/mbm
ΔE to the lowest computed polymorph: 0.000 eV/atom
Energy relative to the elements, uncorrected: -337 meV/atom

no.,N(E_F) (states/eV per cell),E_tot (eV per formula unit),density (g/cm³)
1,6.221,-22.69,4.09
2,2.589,-23.19,6.03
3,6.091,-41.08,7.33
4,3.764,-26.66,5.36
5,6.510,-24.62,4.73
6,5.896,-22.87,5.72
7,2.775,-24.04,5.83
8,10.243,-33.41,8.06
9,2.419,-29.70,8.60
10,4.496,-26.15,5.77
11,7.575,-21.33,6.30
12,7.013,-35.24,8.01